! PBE MnNiPSeN, relaxed; values from VASP
&SYSTEM
  ibrav = 0, nat = 10, ntyp = 5
/
ATOMIC_SPECIES
Mn 54.94 Mn.upf
Ni 58.69 Ni.upf
P 30.97 P.upf
Se 78.96 Se.upf
N 14.01 N.upf
ATOMIC_POSITIONS crystal
Mn 0.928 0.000 0.350
Mn 0.928 0.500 0.850
Ni 0.236 0.000 0.550
Ni 0.236 0.500 0.050
P 0.332 0.000 0.920
P 0.332 0.500 0.420
Se 0.925 0.000 0.153
Se 0.925 0.500 0.653
N 0.665 0.000 0.878
N 0.665 0.500 0.378
CELL_PARAMETERS angstrom
-3.513 -2.733 -0.856
-0.020 -0.805 2.653
-6.829 9.822 2.928
! - Raw total energy: -6.555 eV/atom
! - Calculated density: 5.12 g/cm3
! - Raw formation energy: -121 meV per atom
! - Polymorph energy (0 for the lowest one): 162 meV per atom

! PBE MnNiPSeN, relaxed; values from VASP
&SYSTEM
  ibrav = 0, nat = 5, ntyp = 5
/
ATOMIC_SPECIES
Mn 54.94 Mn.upf
Ni 58.69 Ni.upf
P 30.97 P.upf
Se 78.96 Se.upf
N 14.01 N.upf
ATOMIC_POSITIONS crystal
Mn 0.450 0.500 0.949
Ni 0.925 0.500 0.923
P 0.082 0.000 0.693
Se 0.367 0.500 0.279
N 0.677 0.000 0.954
CELL_PARAMETERS angstrom
5.004 0.000 0.004
0.000 2.759 0.000
-2.429 0.000 5.936
! - Raw total energy: -6.441 eV/atom
! - Calculated density: 4.81 g/cm3
! - Raw formation energy: -7 meV per atom
! - Polymorph energy (0 for the lowest one): 275 meV per atom

! PBE MnNiPSeN, relaxed; values from VASP
&SYSTEM
  ibrav = 0, nat = 10, ntyp = 5
/
ATOMIC_SPECIES
Mn 54.94 Mn.upf
Ni 58.69 Ni.upf
P 30.97 P.upf
Se 78.96 Se.upf
N 14.01 N.upf
ATOMIC_POSITIONS crystal
Mn 0.357 0.000 0.242
Mn 0.357 0.500 0.742
Ni 0.722 0.000 0.675
Ni 0.722 0.500 0.175
P 0.595 0.000 0.033
P 0.595 0.500 0.533
Se 0.110 0.000 0.598
Se 0.110 0.500 0.098
N 0.512 0.000 0.850
N 0.512 0.500 0.350
CELL_PARAMETERS angstrom
5.753 0.000 0.190
0.000 3.253 0.000
-0.703 0.000 8.555
! - Raw total energy: -6.604 eV/atom
! - Calculated density: 4.91 g/cm3
! - Raw formation energy: -170 meV per atom
! - Polymorph energy (0 for the lowest one): 112 meV per atom

! PBE MnNiPSeN, relaxed; values from VASP
&SYSTEM
  ibrav = 0, nat = 10, ntyp = 5
/
ATOMIC_SPECIES
Mn 54.94 Mn.upf
Ni 58.69 Ni.upf
P 30.97 P.upf
Se 78.96 Se.upf
N 14.01 N.upf
ATOMIC_POSITIONS crystal
Mn 0.312 0.000 0.851
Mn 0.312 0.500 0.351
Ni 0.952 0.000 0.598
Ni 0.952 0.500 0.098
P 0.106 0.000 0.342
P 0.106 0.500 0.842
Se 0.756 0.000 0.844
Se 0.756 0.500 0.344
N 0.374 0.000 0.168
N 0.374 0.500 0.668
CELL_PARAMETERS angstrom
-1.862 5.226 7.408
1.680 -1.588 1.543
4.491 2.788 -2.021
! - Raw total energy: -6.457 eV/atom
! - Calculated density: 5.50 g/cm3
! - Raw formation energy: -22 meV per atom
! - Polymorph energy (0 for the lowest one): 260 meV per atom

! PBE MnNiPSeN, relaxed; values from VASP
&SYSTEM
  ibrav = 0, nat = 10, ntyp = 5
/
ATOMIC_SPECIES
Mn 54.94 Mn.upf
Ni 58.69 Ni.upf
P 30.97 P.upf
Se 78.96 Se.upf
N 14.01 N.upf
ATOMIC_POSITIONS crystal
Mn 0.000 0.000 0.589
Mn 0.500 0.500 0.089
Ni 0.000 0.000 0.837
Ni 0.500 0.500 0.337
P 0.000 0.500 0.510
P 0.500 0.000 0.010
Se 0.000 0.500 0.883
Se 0.500 0.000 0.383
N 0.000 0.500 0.183
N 0.500 0.000 0.683
CELL_PARAMETERS angstrom
2.971 0.000 0.000
0.000 4.727 0.000
0.000 0.000 9.932
! - Raw total energy: -6.480 eV/atom
! - Calculated density: 5.66 g/cm3
! - Raw formation energy: -46 meV per atom
! - Polymorph energy (0 for the lowest one): 236 meV per atom

! PBE MnNiPSeN, relaxed; values from VASP
&SYSTEM
  ibrav = 0, nat = 5, ntyp = 5
/
ATOMIC_SPECIES
Mn 54.94 Mn.upf
Ni 58.69 Ni.upf
P 30.97 P.upf
Se 78.96 Se.upf
N 14.01 N.upf
ATOMIC_POSITIONS crystal
Mn 0.456 0.279 0.428
Ni 0.632 0.855 0.958
P 0.019 0.733 0.578
Se 0.547 0.356 0.955
N 0.938 0.979 0.378
CELL_PARAMETERS angstrom
-1.070 -0.484 -2.509
-3.771 -2.126 2.020
-0.975 4.895 0.364
! - Raw total energy: -6.530 eV/atom
! - Calculated density: 6.24 g/cm3
! - Raw formation energy: -96 meV per atom
! - Polymorph energy (0 for the lowest one): 186 meV per atom

! PBE MnNiPSeN, relaxed; values from VASP
&SYSTEM
  ibrav = 0, nat = 5, ntyp = 5
/
ATOMIC_SPECIES
Mn 54.94 Mn.upf
Ni 58.69 Ni.upf
P 30.97 P.upf
Se 78.96 Se.upf
N 14.01 N.upf
ATOMIC_POSITIONS crystal
Mn 0.325 0.000 0.410
Ni 0.749 0.000 0.837
P 0.747 0.500 0.560
Se 0.312 0.000 0.024
N 0.070 0.500 0.465
CELL_PARAMETERS angstrom
4.316 0.000 0.012
0.000 2.804 0.000
-1.568 0.000 5.856
! - Raw total energy: -6.588 eV/atom
! - Calculated density: 5.56 g/cm3
! - Raw formation energy: -154 meV per atom
! - Polymorph energy (0 for the lowest one): 128 meV per atom

! PBE MnNiPSeN, relaxed; values from VASP
&SYSTEM
  ibrav = 0, nat = 10, ntyp = 5
/
ATOMIC_SPECIES
Mn 54.94 Mn.upf
Ni 58.69 Ni.upf
P 30.97 P.upf
Se 78.96 Se.upf
N 14.01 N.upf
ATOMIC_POSITIONS crystal
Mn 0.000 0.000 0.719
Mn 0.000 0.500 0.219
Ni 0.500 0.000 0.551
Ni 0.500 0.500 0.051
P 0.000 0.000 0.992
P 0.000 0.500 0.492
Se 0.000 0.000 0.323
Se 0.000 0.500 0.823
N 0.500 0.000 0.664
N 0.500 0.500 0.164
CELL_PARAMETERS angstrom
-0.102 -0.994 -2.755
0.036 -2.854 1.029
-16.776 0.011 0.617
! - Raw total energy: -6.406 eV/atom
! - Calculated density: 5.29 g/cm3
! - Raw formation energy: 28 meV per atom
! - Polymorph energy (0 for the lowest one): 310 meV per atom

! PBE MnNiPSeN, relaxed; values from VASP
&SYSTEM
  ibrav = 0, nat = 10, ntyp = 5
/
ATOMIC_SPECIES
Mn 54.94 Mn.upf
Ni 58.69 Ni.upf
P 30.97 P.upf
Se 78.96 Se.upf
N 14.01 N.upf
ATOMIC_POSITIONS crystal
Mn 0.328 0.000 0.104
Mn 0.328 0.500 0.604
Ni 0.872 0.000 0.932
Ni 0.872 0.500 0.432
P 0.606 0.000 0.372
P 0.606 0.500 0.872
Se 0.042 0.000 0.680
Se 0.042 0.500 0.180
N 0.449 0.000 0.514
N 0.449 0.500 0.014
CELL_PARAMETERS angstrom
-1.556 4.084 -4.324
1.830 -1.404 -1.984
-5.420 -5.790 -0.902
! - Raw total energy: -6.608 eV/atom
! - Calculated density: 5.43 g/cm3
! - Raw formation energy: -174 meV per atom
! - Polymorph energy (0 for the lowest one): 108 meV per atom

! PBE MnNiPSeN, relaxed; values from VASP
&SYSTEM
  ibrav = 0, nat = 5, ntyp = 5
/
ATOMIC_SPECIES
Mn 54.94 Mn.upf
Ni 58.69 Ni.upf
P 30.97 P.upf
Se 78.96 Se.upf
N 14.01 N.upf
ATOMIC_POSITIONS crystal
Mn 0.316 0.000 0.308
Ni 0.756 0.500 0.140
P 0.716 0.500 0.502
Se 0.350 0.000 0.955
N 0.066 0.500 0.391
CELL_PARAMETERS angstrom
4.112 0.000 -0.005
0.000 2.806 0.000
-1.283 0.000 6.542
! - Raw total energy: -6.478 eV/atom
! - Calculated density: 5.23 g/cm3
! - Raw formation energy: -44 meV per atom
! - Polymorph energy (0 for the lowest one): 238 meV per atom

! PBE MnNiPSeN, relaxed; values from VASP
&SYSTEM
  ibrav = 0, nat = 10, ntyp = 5
/
ATOMIC_SPECIES
Mn 54.94 Mn.upf
Ni 58.69 Ni.upf
P 30.97 P.upf
Se 78.96 Se.upf
N 14.01 N.upf
ATOMIC_POSITIONS crystal
Mn 0.263 0.000 0.653
Mn 0.263 0.500 0.153
Ni 0.112 0.000 0.959
Ni 0.112 0.500 0.459
P 0.570 0.000 0.098
P 0.570 0.500 0.598
Se 0.486 0.000 0.848
Se 0.486 0.500 0.348
N 0.951 0.000 0.090
N 0.951 0.500 0.590
CELL_PARAMETERS angstrom
4.194 0.000 0.007
0.000 2.828 0.000
-3.818 0.000 12.113
! - Raw total energy: -6.513 eV/atom
! - Calculated density: 5.49 g/cm3
! - Raw formation energy: -79 meV per atom
! - Polymorph energy (0 for the lowest one): 203 meV per atom

! PBE MnNiPSeN, relaxed; values from VASP
&SYSTEM
  ibrav = 0, nat = 5, ntyp = 5
/
ATOMIC_SPECIES
Mn 54.94 Mn.upf
Ni 58.69 Ni.upf
P 30.97 P.upf
Se 78.96 Se.upf
N 14.01 N.upf
ATOMIC_POSITIONS crystal
Mn 0.869 0.832 0.633
Ni 0.432 0.150 0.998
P 0.602 0.243 0.425
Se 0.008 0.579 0.027
N 0.386 0.994 0.622
CELL_PARAMETERS angstrom
-2.409 2.528 -1.330
-1.638 -3.135 -1.348
-1.868 -0.027 4.898
! - Raw total energy: -6.535 eV/atom
! - Calculated density: 5.52 g/cm3
! - Raw formation energy: -101 meV per atom
! - Polymorph energy (0 for the lowest one): 181 meV per atom

Copy entry 5 word for word.
! PBE MnNiPSeN, relaxed; values from VASP
&SYSTEM
  ibrav = 0, nat = 10, ntyp = 5
/
ATOMIC_SPECIES
Mn 54.94 Mn.upf
Ni 58.69 Ni.upf
P 30.97 P.upf
Se 78.96 Se.upf
N 14.01 N.upf
ATOMIC_POSITIONS crystal
Mn 0.000 0.000 0.589
Mn 0.500 0.500 0.089
Ni 0.000 0.000 0.837
Ni 0.500 0.500 0.337
P 0.000 0.500 0.510
P 0.500 0.000 0.010
Se 0.000 0.500 0.883
Se 0.500 0.000 0.383
N 0.000 0.500 0.183
N 0.500 0.000 0.683
CELL_PARAMETERS angstrom
2.971 0.000 0.000
0.000 4.727 0.000
0.000 0.000 9.932
! - Raw total energy: -6.480 eV/atom
! - Calculated density: 5.66 g/cm3
! - Raw formation energy: -46 meV per atom
! - Polymorph energy (0 for the lowest one): 236 meV per atom